No. 1
# HfUGa2

A relaxed HfUGa2 crystal (PBE, the Alexandria database).

Cell: 4.0724 4.4566 4.4566 Å, 90.00 90.00 90.00°
Last column: magnetic moment on the atom in μB.
Fractional coordinates of all 4 atoms:
Ga: 0.0000 0.0000 0.5000  0.01
Ga: 0.0000 0.5000 0.0000  0.01
Hf: 0.5000 0.5000 0.5000  0.17
U: 0.5000 0.0000 0.0000  1.97

polymorph energy (0 for the lowest one)	0.166	eV/atom
formation energy from the elements	-0.0755	eV/atom
SG	P4/mmm, No. 123

=====

No. 2
# LaPdIN2

A relaxed LaPdIN2 crystal (PBE, the Alexandria database).

Cell: 4.2017 4.2017 7.1221 Å, 90.00 90.00 90.00°
Last column: magnetic moment on the atom in μB.
Fractional coordinates of all 5 atoms:
N: 0.0000 0.5000 0.0000  0.07
N: 0.5000 0.0000 0.0000  0.07
La: 0.0000 0.0000 0.0000  0.01
Pd: 0.5000 0.5000 0.5000  0.03
I: 0.0000 0.0000 0.5000  0.00

polymorph energy (0 for the lowest one)	0.060	eV/atom
SG	P4/mmm, No. 123

=====

No. 3
# Na3SBr

A relaxed Na3SBr crystal (PBE, the Alexandria database).

Cell: 5.2577 5.2577 5.2577 Å, 90.00 90.00 90.00°
Fractional coordinates of all 5 atoms:
Na: 0.0000 0.5000 0.0000
Na: 0.5000 0.0000 0.0000
Na: 0.0000 0.0000 0.5000
S: 0.0000 0.0000 0.0000
Br: 0.5000 0.5000 0.5000

polymorph energy (0 for the lowest one)	0.000	eV/atom
SG	Pm-3m, No. 221

=====

No. 4
# CdGaSbI2

A relaxed CdGaSbI2 crystal (PBE, the Alexandria database).

Cell: 6.0877 6.0877 5.6026 Å, 90.00 90.00 90.00°
Last column: magnetic moment on the atom in μB.
Fractional coordinates of all 5 atoms:
I: 0.0000 0.5000 0.0000  0.08
I: 0.5000 0.0000 0.0000  0.08
Ga: 0.5000 0.5000 0.5000  0.02
Cd: 0.0000 0.0000 0.0000  -0.01
Sb: 0.0000 0.0000 0.5000  0.55

polymorph energy (0 for the lowest one)	0.011	eV/atom
SG	P4/mmm, No. 123

=====

No. 5
# ZnSbMo3

A relaxed ZnSbMo3 crystal (PBE, the Alexandria database).

Cell: 4.8949 4.8949 4.8949 Å, 90.00 90.00 90.00°
Fractional coordinates of all 5 atoms:
Mo: 0.5000 0.0000 0.0000
Mo: 0.0000 0.0000 0.5000
Mo: 0.0000 0.5000 0.0000
Sb: 0.0000 0.0000 0.0000
Zn: 0.5000 0.5000 0.5000

polymorph energy (0 for the lowest one)	0.541	eV/atom
SG	Pm-3m, No. 221

=====

No. 6
# CsKRbMg

A relaxed CsKRbMg crystal (PBE, the Alexandria database).

Cell: 7.1984 7.1984 7.1984 Å, 60.00 60.00 60.00°
Fractional coordinates of all 4 atoms:
Rb: 0.0000 0.0000 0.0000
Mg: 0.7500 0.7500 0.7500
K: 0.2500 0.2500 0.2500
Cs: 0.5000 0.5000 0.5000

formation energy from the elements	0.1710	eV/atom
SG	F-43m, No. 216

=====

No. 7
# LiCo

A relaxed LiCo crystal (PBE, the Alexandria database).

Cell: 7.8516 7.8516 7.8516 Å, 90.00 90.00 90.00°
Last column: magnetic moment on the atom in μB.
Fractional coordinates of all 16 atoms:
Co: 0.6018 0.3982 0.6018  1.88
Co: 0.3982 0.3982 0.3982  1.88
Co: 0.8982 0.1018 0.1018  1.88
Co: 0.1018 0.8982 0.1018  1.88
Co: 0.6018 0.6018 0.3982  1.88
Co: 0.1018 0.1018 0.8982  1.88
Co: 0.8982 0.8982 0.8982  1.88
Co: 0.3982 0.6018 0.6018  1.88
Li: 0.7050 0.2950 0.2950  0.00
Li: 0.7950 0.2050 0.7950  0.00
Li: 0.7950 0.7950 0.2050  0.00
Li: 0.2950 0.7050 0.2950  0.00
Li: 0.7050 0.7050 0.7050  0.00
Li: 0.2050 0.7950 0.7950  0.00
Li: 0.2950 0.2950 0.7050  0.00
Li: 0.2050 0.2050 0.2050  0.00

formation energy from the elements	0.9955	eV/atom
SG	I-43m, No. 217

=====

No. 8
# SiHgSbP2

A relaxed SiHgSbP2 crystal (PBE, the Alexandria database).

Cell: 4.6673 4.9909 4.6673 Å, 90.00 90.00 90.00°
Fractional coordinates of all 5 atoms:
Sb: 0.5000 0.5000 0.5000
P: 0.5000 0.0000 0.0000
P: 0.0000 0.0000 0.5000
Hg: 0.0000 0.5000 0.0000
Si: 0.0000 0.0000 0.0000

E	-3.51	eV/atom
SG	P4/mmm, No. 123

=====

| no. | density of states at the Fermi level (states/eV per cell) | volume (Å³ per atom) |
| --- | --- | --- |
| 1 | 6.51 | 20.2 |
| 2 | 5.53 | 25.1 |
| 3 | 0.00 | 29.1 |
| 4 | 2.68 | 41.5 |
| 5 | 11.81 | 23.5 |
| 6 | 3.39 | 65.9 |
| 7 | 29.02 | 30.3 |
| 8 | 2.87 | 21.7 |